Model w:
# TiBeCr (PBE-GGA, optimized geometry)
data_TiBeCr
_space_group_name_H-M_alt 'P -6 2 m'
_space_group_IT_number 189
_space_group_name_Hall 'P -6 -2'
_cell_length_a 6.2973
_cell_length_b 6.2973
_cell_length_c 3.2214
_cell_angle_alpha 90.00
_cell_angle_beta 90.00
_cell_angle_gamma 120.00
loop_
_atom_site_label
_atom_site_type_symbol
_atom_site_fract_x
_atom_site_fract_y
_atom_site_fract_z
Ti1 Ti 0.0000 0.3925 0.0000
Be1 Be 0.0000 0.0000 0.0000
Be2 Be 0.3333 0.6667 0.5000
Cr1 Cr 0.0000 0.7451 0.5000
# Fermi-level density of states: 9.22 states/eV per cell

---

Model x:
# TiBeCr (PBE-GGA, optimized geometry)
data_TiBeCr
_space_group_name_H-M_alt 'I m m a'
_space_group_IT_number 74
_space_group_name_Hall '-I 2b 2'
_cell_length_a 4.519
_cell_length_b 4.731
_cell_length_c 6.896
_cell_angle_alpha 90.00
_cell_angle_beta 90.00
_cell_angle_gamma 90.00
loop_
_atom_site_label
_atom_site_type_symbol
_atom_site_fract_x
_atom_site_fract_y
_atom_site_fract_z
Ti1 Ti 0.000 0.250 0.120
Be1 Be 0.000 0.000 0.500
Cr1 Cr 0.250 0.250 0.750
# Fermi-level density of states: 10.36 states/eV per cell

---

Which structure is the most stable? The one labeled model x.

---

Model w:
# TiBe9Cr2 (PBE-GGA, optimized geometry)
data_TiBe9Cr2
_space_group_name_H-M_alt 'R -3 m'
_space_group_IT_number 166
_space_group_name_Hall '-R 3 2"'
_cell_length_a 4.2752
_cell_length_b 4.2752
_cell_length_c 20.5170
_cell_angle_alpha 90.00
_cell_angle_beta 90.00
_cell_angle_gamma 120.00
loop_
_atom_site_label
_atom_site_type_symbol
_atom_site_fract_x
_atom_site_fract_y
_atom_site_fract_z
Ti1 Ti 0.0000 0.0000 0.0000
Be1 Be 0.0000 0.0000 0.3339
Be2 Be 0.0000 0.0000 0.5000
Be3 Be 0.0046 0.5023 0.9149
Cr1 Cr 0.0000 0.0000 0.1461
# Fermi-level density of states: 14.57 states/eV per cell

---

Model x:
# TiBe9Cr2 (PBE-GGA, optimized geometry)
data_TiBe9Cr2
_space_group_name_H-M_alt 'P 63/m m c'
_space_group_IT_number 194
_space_group_name_Hall '-P 6c 2c'
_cell_length_a 4.2785
_cell_length_b 4.2785
_cell_length_c 13.6734
_cell_angle_alpha 90.00
_cell_angle_beta 90.00
_cell_angle_gamma 120.00
loop_
_atom_site_label
_atom_site_type_symbol
_atom_site_fract_x
_atom_site_fract_y
_atom_site_fract_z
Ti1 Ti 0.3333 0.6667 0.2500
Be1 Be 0.0000 0.0000 0.0000
Be2 Be 0.0000 0.0000 0.2500
Be3 Be 0.1694 0.3388 0.6227
Be4 Be 0.3333 0.6667 0.7500
Cr1 Cr 0.3333 0.6667 0.0315
# Fermi-level density of states: 9.58 states/eV per cell

---

Which structure is the most stable? The one labeled model w.

---

Model w:
# BeTlCr3 (PBE-GGA, optimized geometry)
data_BeTlCr3
_space_group_name_H-M_alt 'P m -3 m'
_space_group_IT_number 221
_space_group_name_Hall '-P 4 2 3'
_cell_length_a 4.210
_cell_length_b 4.210
_cell_length_c 4.210
_cell_angle_alpha 90.00
_cell_angle_beta 90.00
_cell_angle_gamma 90.00
loop_
_atom_site_label
_atom_site_type_symbol
_atom_site_fract_x
_atom_site_fract_y
_atom_site_fract_z
Be1 Be 0.000 0.000 0.000
Tl1 Tl 0.500 0.500 0.500
Cr1 Cr 0.000 0.000 0.500
# Fermi-level density of states: 5.56 states/eV per cell

---

Model x:
# BeTlCr3 (PBE-GGA, optimized geometry)
data_BeTlCr3
_space_group_name_H-M_alt 'P m -3 m'
_space_group_IT_number 221
_space_group_name_Hall '-P 4 2 3'
_cell_length_a 5.138
_cell_length_b 5.138
_cell_length_c 5.138
_cell_angle_alpha 90.00
_cell_angle_beta 90.00
_cell_angle_gamma 90.00
loop_
_atom_site_label
_atom_site_type_symbol
_atom_site_fract_x
_atom_site_fract_y
_atom_site_fract_z
Be1 Be 0.000 0.000 0.000
Tl1 Tl 0.500 0.500 0.500
Cr1 Cr 0.000 0.500 0.500
# Fermi-level density of states: 2.75 states/eV per cell

---

Which structure is the most stable? The one labeled model w.

---

Model w:
# BeTl3Cr (PBE-GGA, optimized geometry)
data_BeTl3Cr
_space_group_name_H-M_alt 'P m -3 m'
_space_group_IT_number 221
_space_group_name_Hall '-P 4 2 3'
_cell_length_a 5.003
_cell_length_b 5.003
_cell_length_c 5.003
_cell_angle_alpha 90.00
_cell_angle_beta 90.00
_cell_angle_gamma 90.00
loop_
_atom_site_label
_atom_site_type_symbol
_atom_site_fract_x
_atom_site_fract_y
_atom_site_fract_z
Be1 Be 0.000 0.000 0.000
Tl1 Tl 0.000 0.000 0.500
Cr1 Cr 0.500 0.500 0.500
# Fermi-level density of states: 2.11 states/eV per cell

---

Model x:
# BeTl3Cr (PBE-GGA, optimized geometry)
data_BeTl3Cr
_space_group_name_H-M_alt 'P m -3 m'
_space_group_IT_number 221
_space_group_name_Hall '-P 4 2 3'
_cell_length_a 5.331
_cell_length_b 5.331
_cell_length_c 5.331
_cell_angle_alpha 90.00
_cell_angle_beta 90.00
_cell_angle_gamma 90.00
loop_
_atom_site_label
_atom_site_type_symbol
_atom_site_fract_x
_atom_site_fract_y
_atom_site_fract_z
Be1 Be 0.000 0.000 0.000
Tl1 Tl 0.000 0.500 0.500
Cr1 Cr 0.500 0.500 0.500
# Fermi-level density of states: 1.88 states/eV per cell

---

Which structure is the most stable? The one labeled model w.

---

Model w:
# Be3TlCr (PBE-GGA, optimized geometry)
data_Be3TlCr
_space_group_name_H-M_alt 'P m -3 m'
_space_group_IT_number 221
_space_group_name_Hall '-P 4 2 3'
_cell_length_a 4.418
_cell_length_b 4.418
_cell_length_c 4.418
_cell_angle_alpha 90.00
_cell_angle_beta 90.00
_cell_angle_gamma 90.00
loop_
_atom_site_label
_atom_site_type_symbol
_atom_site_fract_x
_atom_site_fract_y
_atom_site_fract_z
Be1 Be 0.000 0.000 0.500
Tl1 Tl 0.000 0.000 0.000
Cr1 Cr 0.500 0.500 0.500
# Fermi-level density of states: 6.94 states/eV per cell

---

Model x:
# Be3TlCr (PBE-GGA, optimized geometry)
data_Be3TlCr
_space_group_name_H-M_alt 'P m -3 m'
_space_group_IT_number 221
_space_group_name_Hall '-P 4 2 3'
_cell_length_a 4.309
_cell_length_b 4.309
_cell_length_c 4.309
_cell_angle_alpha 90.00
_cell_angle_beta 90.00
_cell_angle_gamma 90.00
loop_
_atom_site_label
_atom_site_type_symbol
_atom_site_fract_x
_atom_site_fract_y
_atom_site_fract_z
Be1 Be 0.000 0.000 0.500
Tl1 Tl 0.500 0.500 0.500
Cr1 Cr 0.000 0.000 0.000
# Fermi-level density of states: 2.66 states/eV per cell

---

Which structure is the most stable? The one labeled model x.

---

Model w:
# Be3VCr (PBE-GGA, optimized geometry)
data_Be3VCr
_space_group_name_H-M_alt 'P m -3 m'
_space_group_IT_number 221
_space_group_name_Hall '-P 4 2 3'
_cell_length_a 3.904
_cell_length_b 3.904
_cell_length_c 3.904
_cell_angle_alpha 90.00
_cell_angle_beta 90.00
_cell_angle_gamma 90.00
loop_
_atom_site_label
_atom_site_type_symbol
_atom_site_fract_x
_atom_site_fract_y
_atom_site_fract_z
Be1 Be 0.000 0.000 0.500
V1 V 0.500 0.500 0.500
Cr1 Cr 0.000 0.000 0.000
# Fermi-level density of states: 2.99 states/eV per cell

---

Model x:
# Be3VCr (PBE-GGA, optimized geometry)
data_Be3VCr
_space_group_name_H-M_alt 'P m -3 m'
_space_group_IT_number 221
_space_group_name_Hall '-P 4 2 3'
_cell_length_a 4.134
_cell_length_b 4.134
_cell_length_c 4.134
_cell_angle_alpha 90.00
_cell_angle_beta 90.00
_cell_angle_gamma 90.00
loop_
_atom_site_label
_atom_site_type_symbol
_atom_site_fract_x
_atom_site_fract_y
_atom_site_fract_z
Be1 Be 0.000 0.000 0.500
V1 V 0.000 0.000 0.000
Cr1 Cr 0.500 0.500 0.500
# Fermi-level density of states: 5.30 states/eV per cell

---

Which structure is the most stable? The one labeled model w.

---

Model w:
# BeV3Cr (PBE-GGA, optimized geometry)
data_BeV3Cr
_space_group_name_H-M_alt 'P m -3 m'
_space_group_IT_number 221
_space_group_name_Hall '-P 4 2 3'
_cell_length_a 4.256
_cell_length_b 4.256
_cell_length_c 4.256
_cell_angle_alpha 90.00
_cell_angle_beta 90.00
_cell_angle_gamma 90.00
loop_
_atom_site_label
_atom_site_type_symbol
_atom_site_fract_x
_atom_site_fract_y
_atom_site_fract_z
Be1 Be 0.000 0.000 0.000
V1 V 0.000 0.500 0.500
Cr1 Cr 0.500 0.500 0.500
# Fermi-level density of states: 3.44 states/eV per cell

---

Model x:
# BeV3Cr (PBE-GGA, optimized geometry)
data_BeV3Cr
_space_group_name_H-M_alt 'P m -3 m'
_space_group_IT_number 221
_space_group_name_Hall '-P 4 2 3'
_cell_length_a 4.108
_cell_length_b 4.108
_cell_length_c 4.108
_cell_angle_alpha 90.00
_cell_angle_beta 90.00
_cell_angle_gamma 90.00
loop_
_atom_site_label
_atom_site_type_symbol
_atom_site_fract_x
_atom_site_fract_y
_atom_site_fract_z
Be1 Be 0.000 0.000 0.000
V1 V 0.000 0.000 0.500
Cr1 Cr 0.500 0.500 0.500
# Fermi-level density of states: 7.45 states/eV per cell

---

Which structure is the most stable? The one labeled model x.